Density functional theory data (PBE) for an optimized crystal structure of Ba2Hg3Bi2.

## Properties
space-group type: I2_13
E_tot: -2.10 eV per atom
distance to the lowest polymorph of the same formula: 0.2496 eV per atom
energy of formation: -311 meV per atom

Geometry as extended XYZ:
```
14
Lattice="-5.0366 5.0366 5.0366 5.0366 -5.0366 5.0366 5.0366 5.0366 -5.0366" Properties=species:S:1:pos:R:3 pbc="T T T"
Ba 5.1247 -0.0881 0.0881
Ba 0.0881 5.1247 -0.0881
Ba -0.0881 0.0881 5.1247
Ba 4.9484 4.9484 4.9484
Hg 5.0366 2.5183 -2.2265
Hg 2.5183 2.2265 0.0000
Hg 2.2265 0.0000 2.5183
Hg 2.5183 -2.2265 5.0366
Hg 0.0000 2.5183 2.2265
Hg -2.2265 5.0366 2.5183
Bi 7.0849 -2.0483 2.0483
Bi 2.0483 7.0849 -2.0483
Bi 2.9882 2.9882 2.9882
Bi -2.0483 2.0483 7.0849
```